# Ge2Pb5Au4, optimized geometry, DFT PBE-GGA
data_Ge2Pb5Au4
_space_group_name_H-M_alt 'C 1 2/m 1'
_space_group_IT_number 12
_cell_length_a 14.7857
_cell_length_b 4.6654
_cell_length_c 8.5558
_cell_angle_alpha 90.00
_cell_angle_beta 90.96
_cell_angle_gamma 90.00
loop_
_space_group_symop_operation_xyz
'x,y,z'
'-x,-y,-z'
'-x,y,-z'
'x,-y,z'
'x+1/2,y+1/2,z'
'-x+1/2,-y+1/2,-z'
'-x+1/2,y+1/2,-z'
'x+1/2,-y+1/2,z'
loop_
_atom_site_label
_atom_site_fract_x
_atom_site_fract_y
_atom_site_fract_z
Ge1 0.0112 0.0000 0.1435
Pb1 0.0000 0.0000 0.5000
Pb2 0.1592 0.5000 0.0262
Pb3 0.1690 0.5000 0.4955
Au1 0.0302 0.5000 0.7546
Au2 0.1814 0.0000 0.2550
# **ΔH_f (0 K)**: 0.01 eV per atom